This record from the Alexandria database describes a geometry-optimized AlRuW structure. The functional is PBE.

Structure (POSCAR):
```
AlRuW
1.0
-4.568 -1.386 2.304
1.479 -3.855 0.613
6.851 3.443 5.122
Ru Al W
4 4 4
direct
0.556 0.000 0.419
0.556 0.500 0.919
0.755 0.000 0.764
0.755 0.500 0.264
0.052 0.000 0.416
0.052 0.500 0.916
0.872 0.000 0.073
0.872 0.500 0.573
0.239 0.000 0.758
0.239 0.500 0.258
0.393 0.000 0.097
0.393 0.500 0.597
```

Output
Space-group type = Cm, No. 8
Calculated total energy = -106.059 eV for the cell shown
ΔE_f = -181 meV/atom
Energy relative to the lowest polymorph listed for this composition = 222 meV per atom


This record from the Alexandria database describes a geometry-optimized AlRuW structure. The functional is PBE.

Structure (POSCAR):
```
AlRuW
1.0
5.384 -0.012 0.000
3.761 3.852 0.000
-4.573 -1.920 2.096
Ru Al W
1 1 1
direct
0.337 0.337 0.000
0.992 0.992 0.000
0.671 0.671 0.000
```

Output
Space-group type = I4mm, No. 107
Calculated total energy = -26.928 eV for the cell shown
ΔE_f = -319 meV/atom
Energy relative to the lowest polymorph listed for this composition = 84 meV per atom


This record from the Alexandria database describes a geometry-optimized AlRuW structure. The functional is PBE.

Structure (POSCAR):
```
AlRuW
1.0
-5.712 -0.953 -3.651
-5.998 -2.453 -1.349
-1.375 2.395 0.063
Ru Al W
1 1 1
direct
0.336 0.336 0.664
0.995 0.995 0.005
0.669 0.669 0.331
```

Output
Space-group type = Fmm2, No. 42
Calculated total energy = -26.060 eV for the cell shown
ΔE_f = -30 meV/atom
Energy relative to the lowest polymorph listed for this composition = 373 meV per atom


This record from the Alexandria database describes a geometry-optimized Al2RuW structure. The functional is PBE.

Structure (POSCAR):
```
Al2RuW
1.0
-1.503 0.967 2.488
-0.412 -2.905 0.880
5.328 0.196 3.142
Ru Al W
1 2 1
direct
0.000 0.000 0.478
0.000 0.000 0.005
0.500 0.500 0.262
0.500 0.500 0.754
```

Output
Space-group type = P4mm, No. 99
Calculated total energy = -30.951 eV for the cell shown
ΔE_f = -309 meV/atom
Energy relative to the lowest polymorph listed for this composition = 0 meV per atom


> Which of these has the lowest calculated total energy?

number 1


> Which of these has the lowest calculated total energy?

number 1